VASP calculation (PBE-GGA) on a relaxed structure of PaGe.

Density   10.16 g/cm³
Final energy   -29.7 eV/cell
Calculated formation energy   -0.3800 eV/atom
Crystal system   hexagonal

a = 4.050 Å, b = 4.050 Å, c = 6.992 Å
α = 90.00°, β = 90.00°, γ = 120.00°
Sites, in units of the cell vectors:
Ge: 0.000 0.000 0.500
Pa: 0.333 0.667 0.250
Ge: 0.000 0.000 0.000
Pa: 0.667 0.333 0.750